1.
Material: AsWBr
Method: DFT, PBE
State: optimized geometry Values from VASP.

Quantum ESPRESSO input file:
```
&SYSTEM
  ibrav = 0, nat = 3, ntyp = 3
/
ATOMIC_SPECIES
As 74.92 As.upf
W 183.84 W.upf
Br 79.90 Br.upf
CELL_PARAMETERS angstrom
0.0000 2.6770 7.5941
1.6314 0.0000 7.5941
1.6314 2.6770 0.0000
ATOMIC_POSITIONS crystal
As 0.0000 0.0000 0.0000
W 0.3723 0.3723 0.6277
Br 0.7357 0.7357 0.2643
```

Total magnetization: 0.00 μB per formula unit
Space group: Fmm2
Fermi-level density of states: 0.90 states/eV/atom
Formation energy without anion corrections: 512 meV/atom
Energy relative to the lowest polymorph listed for this composition: 309 meV/atom
Calculated volume: 66.33 Å³/f.u.

---

2.
Material: AsW2Br
Method: DFT, PBE
State: optimized geometry Values from VASP.

Quantum ESPRESSO input file:
```
&SYSTEM
  ibrav = 0, nat = 4, ntyp = 3
/
ATOMIC_SPECIES
As 74.92 As.upf
W 183.84 W.upf
Br 79.90 Br.upf
CELL_PARAMETERS angstrom
1.6747 -2.4456 0.0000
1.6747 2.4456 0.0000
0.0000 0.0000 9.7659
ATOMIC_POSITIONS crystal
As 0.0000 0.0000 0.0000
W 0.0000 0.0000 0.4149
W 0.5000 0.5000 0.2074
Br 0.5000 0.5000 0.6398
```

Total magnetization: 0.00 μB per formula unit
Space group: Cmm2
Fermi-level density of states: 0.96 states/eV/atom
Formation energy without anion corrections: 506 meV/atom
Energy relative to the lowest polymorph listed for this composition: 360 meV/atom
Calculated volume: 79.99 Å³/f.u.

---

3.
Material: AsW2Br
Method: DFT, PBE
State: optimized geometry Values from VASP.

Quantum ESPRESSO input file:
```
&SYSTEM
  ibrav = 0, nat = 4, ntyp = 3
/
ATOMIC_SPECIES
As 74.92 As.upf
W 183.84 W.upf
Br 79.90 Br.upf
CELL_PARAMETERS angstrom
3.1691 0.0000 0.0000
0.0000 3.1691 0.0000
0.0000 0.0000 7.9932
ATOMIC_POSITIONS crystal
As 0.0000 0.0000 0.0000
W 0.0000 0.0000 0.6269
W 0.5000 0.5000 0.8224
Br 0.5000 0.5000 0.3868
```

Total magnetization: 0.00 μB per formula unit
Space group: P4mm
Fermi-level density of states: 0.92 states/eV/atom
Formation energy without anion corrections: 350 meV/atom
Energy relative to the lowest polymorph listed for this composition: 204 meV/atom
Calculated volume: 80.28 Å³/f.u.

---

4.
Material: YAs2WBr
Method: DFT, PBE
State: optimized geometry Values from VASP.

Quantum ESPRESSO input file:
```
&SYSTEM
  ibrav = 0, nat = 5, ntyp = 4
/
ATOMIC_SPECIES
Y 88.91 Y.upf
As 74.92 As.upf
W 183.84 W.upf
Br 79.90 Br.upf
CELL_PARAMETERS angstrom
4.8605 0.0000 0.0000
0.0000 4.8605 0.0000
0.0000 0.0000 5.2678
ATOMIC_POSITIONS crystal
Y 0.0000 0.0000 0.0000
As 0.0000 0.5000 0.5000
As 0.5000 0.0000 0.5000
W 0.5000 0.5000 0.5000
Br 0.5000 0.5000 0.0000
```

Total magnetization: 0.52 μB per formula unit
Space group: P4/mmm
Fermi-level density of states: 0.98 states/eV/atom
Formation energy without anion corrections: 136 meV/atom
Energy relative to the lowest polymorph listed for this composition: 272 meV/atom
Calculated volume: 124.45 Å³/f.u.

---

5.
Material: YAs2WBr
Method: DFT, PBE
State: optimized geometry Values from VASP.

Quantum ESPRESSO input file:
```
&SYSTEM
  ibrav = 0, nat = 5, ntyp = 4
/
ATOMIC_SPECIES
Y 88.91 Y.upf
As 74.92 As.upf
W 183.84 W.upf
Br 79.90 Br.upf
CELL_PARAMETERS angstrom
5.4684 0.0000 0.0000
0.0000 5.4684 0.0000
0.0000 0.0000 5.2750
ATOMIC_POSITIONS crystal
Y 0.0000 0.0000 0.0000
As 0.0000 0.5000 0.0000
As 0.5000 0.0000 0.0000
W 0.5000 0.5000 0.5000
Br 0.0000 0.0000 0.5000
```

Total magnetization: 3.49 μB per formula unit
Space group: P4/mmm
Fermi-level density of states: 0.81 states/eV/atom
Formation energy without anion corrections: 1064 meV/atom
Energy relative to the lowest polymorph listed for this composition: 1200 meV/atom
Calculated volume: 157.74 Å³/f.u.

---

6.
Material: YAs2WBr
Method: DFT, PBE
State: optimized geometry Values from VASP.

Quantum ESPRESSO input file:
```
&SYSTEM
  ibrav = 0, nat = 5, ntyp = 4
/
ATOMIC_SPECIES
Y 88.91 Y.upf
As 74.92 As.upf
W 183.84 W.upf
Br 79.90 Br.upf
CELL_PARAMETERS angstrom
5.3015 0.0000 0.0000
0.0000 5.3015 0.0000
0.0000 0.0000 5.4841
ATOMIC_POSITIONS crystal
Y 0.0000 0.0000 0.0000
As 0.0000 0.5000 0.0000
As 0.5000 0.0000 0.0000
W 0.0000 0.0000 0.5000
Br 0.5000 0.5000 0.5000
```

Total magnetization: 0.42 μB per formula unit
Space group: P4/mmm
Fermi-level density of states: 1.29 states/eV/atom
Formation energy without anion corrections: 1573 meV/atom
Energy relative to the lowest polymorph listed for this composition: 1710 meV/atom
Calculated volume: 154.14 Å³/f.u.